! GGA+U CsHfV2O8, relaxed; values from VASP
! total moment	1.09	μB/cell
! total energy	-91.9	eV/f.u.
! crystal system	trigonal
&SYSTEM
  ibrav = 0, nat = 12, ntyp = 4
/
ATOMIC_SPECIES
Cs 132.91 Cs.upf
Hf 178.49 Hf.upf
V 50.94 V.upf
O 16.00 O.upf
ATOMIC_POSITIONS angstrom
Cs 0.000 0.000 0.000
Hf -3.078 2.205 1.859
V -3.755 -1.413 0.977
V -4.389 0.980 5.191
O -5.609 1.853 5.928
O -3.177 0.224 1.278
O -5.153 -1.376 -0.096
O -2.536 -2.287 0.240
O -2.992 0.943 6.263
O -4.968 -0.657 4.890
O -3.968 1.765 3.671
O -4.176 -2.198 2.497
CELL_PARAMETERS angstrom
-3.952 -3.211 -2.736
1.963 -1.632 5.186
-6.156 4.409 3.718